<1>
## PHRhO2 (PBE-GGA)

Data for a relaxed PHRhO2 crystal.

abc: 3.698 3.698 5.166
angles: 90.00 90.00 90.00
Fractional positions:
P  0.000  0.000  0.500
Rh  0.000  0.000  0.000
O  0.000  0.500  0.000
O  0.500  0.000  0.000
H  0.500  0.500  0.500

Crystal system: tetragonal
Volume: 14.13 Å³ per atom
SG: P4/mmm (123)
N(E_F): 1.8 states/eV/cell

***

<2>
## PHRhO2 (PBE-GGA)

Data for a relaxed PHRhO2 crystal.

abc: 3.933 3.933 2.980
angles: 90.00 90.00 90.00
Fractional positions:
P  0.000  0.000  0.500
Rh  0.500  0.500  0.500
O  0.000  0.500  0.000
O  0.500  0.000  0.000
H  0.000  0.000  0.000

Crystal system: tetragonal
Volume: 9.22 Å³ per atom
SG: P4/mmm (123)
N(E_F): 2.2 states/eV/cell

***

Going by the energies, <1> is most stable and the next is 14.5 kJ/mol of atoms up.

***

<1>
## PHRuO2 (PBE-GGA)

Data for a relaxed PHRuO2 crystal.

abc: 3.918 3.918 2.961
angles: 90.00 90.00 90.00
Fractional positions:
Ru  0.500  0.500  0.500
H  0.000  0.000  0.000
O  0.000  0.500  0.000
O  0.500  0.000  0.000
P  0.000  0.000  0.500

Crystal system: tetragonal
Volume: 9.09 Å³ per atom
SG: P4/mmm (123)
N(E_F): 3.6 states/eV/cell

***

<2>
## PHRuO2 (PBE-GGA)

Data for a relaxed PHRuO2 crystal.

abc: 3.676 3.676 5.122
angles: 90.00 90.00 90.00
Fractional positions:
Ru  0.000  0.000  0.000
H  0.500  0.500  0.500
O  0.000  0.500  0.000
O  0.500  0.000  0.000
P  0.000  0.000  0.500

Crystal system: tetragonal
Volume: 13.84 Å³ per atom
SG: P4/mmm (123)
N(E_F): 3.8 states/eV/cell

***

Going by the energies, <2> is most stable and the next is 48.7 kJ/mol of atoms up.

***

<1>
## SbP2HO (PBE-GGA)

Data for a relaxed SbP2HO crystal.

abc: 5.182 5.182 4.016
angles: 90.00 90.00 90.00
Fractional positions:
Sb  0.000  0.000  0.000
H  0.500  0.500  0.500
O  0.000  0.000  0.500
P  0.000  0.500  0.000
P  0.500  0.000  0.000

Crystal system: tetragonal
Volume: 21.57 Å³ per atom
SG: P4/mmm (123)
N(E_F): 3.5 states/eV/cell

***

<2>
## SbP2HO (PBE-GGA)

Data for a relaxed SbP2HO crystal.

abc: 3.468 3.468 5.637
angles: 90.00 90.00 90.00
Fractional positions:
Sb  0.500  0.500  0.500
H  0.000  0.000  0.000
O  0.000  0.000  0.500
P  0.000  0.500  0.000
P  0.500  0.000  0.000

Crystal system: tetragonal
Volume: 13.56 Å³ per atom
SG: P4/mmm (123)
N(E_F): 1.9 states/eV/cell

***

Going by the energies, <2> is most stable and the next is 69.5 kJ/mol of atoms up.

***

<1>
## ScP2HO (PBE-GGA)

Data for a relaxed ScP2HO crystal.

abc: 3.337 3.337 5.298
angles: 90.00 90.00 90.00
Fractional positions:
Sc  0.500  0.500  0.500
P  0.000  0.500  0.000
P  0.500  0.000  0.000
O  0.000  0.000  0.500
H  0.000  0.000  0.000

Crystal system: tetragonal
Volume: 11.80 Å³ per atom
SG: P4/mmm (123)
N(E_F): 1.6 states/eV/cell

***

<2>
## ScP2HO (PBE-GGA)

Data for a relaxed ScP2HO crystal.

abc: 5.167 5.167 3.882
angles: 90.00 90.00 90.00
Fractional positions:
Sc  0.000  0.000  0.000
P  0.000  0.500  0.000
P  0.500  0.000  0.000
O  0.000  0.000  0.500
H  0.500  0.500  0.500

Crystal system: tetragonal
Volume: 20.73 Å³ per atom
SG: P4/mmm (123)
N(E_F): 3.4 states/eV/cell

***

Going by the energies, <1> is most stable and the next is 91.7 kJ/mol of atoms up.